The following is a DFT calculation (PBE) of NpTlCuS4 after structural relaxation.

Summary:
Uncorrected formation energy (kJ/mol of formula units): -462.7
Crystal system: monoclinic
Density (g/cm³): 6.65
Calculated total energy (eV per atom): -5.82

Lattice parameters (Å, degrees): 6.7348 5.3562 9.1586 90.00 106.96 90.00
Space group P2_1/m (No. 11)
One atom of each set of equivalent atoms:
Np  0.2324  0.2500  0.4439 [2 per cell]
Tl  0.2404  0.2500  0.9566 [2 per cell]
Cu  0.2521  0.7500  0.6778 [2 per cell]
S  0.0373  0.7500  0.8255 [2 per cell]
S  0.0783  0.7500  0.4244 [2 per cell]
S  0.4796  0.5187  0.3027 [4 per cell]